An optimized crystal structure of KTbMoN3. Source: Alexandria, functional PBE. Values from VASP.

Structure (Quantum ESPRESSO input):
```
&SYSTEM
  ibrav = 0, nat = 12, ntyp = 4
/
ATOMIC_SPECIES
K 39.10 K.upf
Tb 158.93 Tb.upf
Mo 95.94 Mo.upf
N 14.01 N.upf
CELL_PARAMETERS angstrom
-3.6801 -0.1467 1.2581
-0.2888 -1.0112 -6.9829
1.2779 -7.2437 2.8935
ATOMIC_POSITIONS crystal
K 0.3523 0.7046 0.9298
K 0.6477 0.2954 0.0702
Tb 0.6619 0.3238 0.5840
Tb 0.3381 0.6762 0.4160
Mo 0.0064 0.0128 0.3217
Mo 0.9936 0.9872 0.6783
N 0.8654 0.7307 0.2153
N 0.8390 0.6780 0.6341
N 0.5121 0.0242 0.3459
N 0.1610 0.3220 0.3659
N 0.4879 0.9758 0.6541
N 0.1346 0.2693 0.7847
```

## Properties
formation energy without anion corrections	-0.557	eV/atom
VASP energy	-0.275	hartree per atom



An optimized crystal structure of YAlMo2. Source: Alexandria, functional PBE. Values from VASP.

Structure (Quantum ESPRESSO input):
```
&SYSTEM
  ibrav = 0, nat = 4, ntyp = 3
/
ATOMIC_SPECIES
Y 88.91 Y.upf
Mo 95.94 Mo.upf
Al 26.98 Al.upf
CELL_PARAMETERS angstrom
9.9497 -0.0319 -0.0187
9.5244 2.8780 -0.0187
9.5244 1.3920 2.5190
ATOMIC_POSITIONS crystal
Y 0.2500 0.2500 0.2500
Mo 0.0088 0.0088 0.0088
Mo 0.4912 0.4912 0.4912
Al 0.7500 0.7500 0.7500
```

## Properties
VASP energy	-0.276	hartree per atom
ΔE_f	1.79	eV/f.u.



An optimized crystal structure of Tb2ThTlC. Source: Alexandria, functional PBE. Values from VASP.

Structure (Quantum ESPRESSO input):
```
&SYSTEM
  ibrav = 0, nat = 5, ntyp = 4
/
ATOMIC_SPECIES
Tb 158.93 Tb.upf
Th 232.04 Th.upf
Tl 204.38 Tl.upf
C 12.01 C.upf
CELL_PARAMETERS angstrom
5.0515 0.0000 0.0000
0.0000 4.9857 0.0000
0.0000 0.0000 4.9857
ATOMIC_POSITIONS crystal
Tb 0.0000 0.0000 0.5000
Tb 0.0000 0.5000 0.0000
Th 0.5000 0.0000 0.0000
Tl 0.5000 0.5000 0.5000
C 0.0000 0.0000 0.0000
```

## Properties
VASP energy	-0.221	hartree per atom
ΔE_f	-1.82	eV/f.u.



An optimized crystal structure of As2IrBrF. Source: Alexandria, functional PBE. Values from VASP.

Structure (Quantum ESPRESSO input):
```
&SYSTEM
  ibrav = 0, nat = 5, ntyp = 4
/
ATOMIC_SPECIES
As 74.92 As.upf
Ir 192.22 Ir.upf
Br 79.90 Br.upf
F 19.00 F.upf
CELL_PARAMETERS angstrom
4.7422 0.0000 0.0000
0.0000 4.7422 0.0000
0.0000 0.0000 5.2536
ATOMIC_POSITIONS crystal
As 0.0000 0.5000 0.0000
As 0.5000 0.0000 0.0000
Ir 0.0000 0.0000 0.0000
Br 0.0000 0.0000 0.5000
F 0.5000 0.5000 0.5000
```

## Properties
formation energy without anion corrections	0.255	eV/atom
VASP energy	-0.150	hartree per atom
energy relative to the lowest polymorph listed for this composition	0.000	eV per atom